No. 1
## YHfAg6 (PBE)

Data for a relaxed structure of YHfAg6. Values from VASP.

Summary:
Space group ... Pmm2 (25)
Total magnetization ... 0.0 μB per formula unit

The structure in Quantum ESPRESSO input format:
```
&SYSTEM
  ibrav = 0, nat = 8, ntyp = 3
/
ATOMIC_SPECIES
Y 88.91 Y.upf
Hf 178.49 Hf.upf
Ag 107.87 Ag.upf
CELL_PARAMETERS angstrom
4.9261 0.0000 0.0000
0.0000 6.1343 0.0000
0.0000 0.0000 5.0654
ATOMIC_POSITIONS crystal
Y 0.0000 0.0000 0.0000
Hf 0.5000 0.5000 0.3123
Ag 0.0000 0.2656 0.4947
Ag 0.0000 0.5000 0.9954
Ag 0.0000 0.7344 0.4947
Ag 0.5000 0.0000 0.3415
Ag 0.5000 0.2583 0.8180
Ag 0.5000 0.7417 0.8180
```

=====

No. 2
## HfZnAg (PBE)

Data for a relaxed structure of HfZnAg. Values from VASP.

Summary:
Space group ... P4/mmm (123)
Total magnetization ... 0.2 μB per formula unit

The structure in Quantum ESPRESSO input format:
```
&SYSTEM
  ibrav = 0, nat = 6, ntyp = 3
/
ATOMIC_SPECIES
Hf 178.49 Hf.upf
Zn 65.41 Zn.upf
Ag 107.87 Ag.upf
CELL_PARAMETERS angstrom
3.2517 0.0000 0.0000
0.0000 3.2517 0.0000
0.0000 0.0000 9.9482
ATOMIC_POSITIONS crystal
Hf 0.0000 0.0000 0.0000
Hf 0.5000 0.5000 0.5000
Zn 0.0000 0.0000 0.3296
Zn 0.0000 0.0000 0.6704
Ag 0.5000 0.5000 0.1863
Ag 0.5000 0.5000 0.8137
```

=====

| no. | E_tot (eV/atom) |
| --- | --- |
| 1 | -4.3054 |
| 2 | -4.7021 |